A plane-wave DFT calculation with PBE with a Hubbard U was carried out for an optimized crystal structure of Li7Fe7SiO16.

Computed properties:
SG: P1, No. 1
E above lowest polymorph (eV/atom): 0.0571
Total magnetic moment (μB/f.u.): 35.00

a = 5.115 Å, b = 5.651 Å, c = 12.881 Å
α = 89.92°, β = 89.77°, γ = 89.59°
Element x y z (fractional)
1 Li 0.000 0.000 0.000
2 Li 0.000 0.487 0.378
3 Li 0.011 0.501 0.875
4 Li 0.477 0.116 0.629
5 Li 0.498 0.154 0.123
6 Li 0.500 0.652 0.252
7 Li 0.995 0.992 0.504
8 Fe 0.003 0.487 0.124
9 Fe 0.013 0.479 0.629
10 Fe 0.478 0.154 0.873
11 Fe 0.489 0.659 0.503
12 Fe 0.491 0.153 0.378
13 Fe 0.498 0.669 0.998
14 Fe 0.995 0.984 0.250
15 Si 0.488 0.662 0.753
16 O 0.103 0.658 0.246
17 O 0.106 0.164 0.133
18 O 0.119 0.145 0.370
19 O 0.120 0.184 0.610
20 O 0.122 0.657 0.507
21 O 0.127 0.661 0.006
22 O 0.137 0.192 0.895
23 O 0.175 0.618 0.749
24 O 0.562 0.941 0.758
25 O 0.604 0.975 0.497
26 O 0.605 0.477 0.388
27 O 0.605 0.513 0.858
28 O 0.613 0.984 0.994
29 O 0.618 0.997 0.256
30 O 0.621 0.540 0.645
31 O 0.625 0.498 0.114